(1)
Compound: BaLaTl
Source: Alexandria via LeMat-Bulk
Functional: PBE
Structure: optimized geometry

Results
M_tot   0.0000 μB/atom
Polymorph energy (0 for the lowest one)   47 meV/atom
D(E_F)   3.2 states/eV/f.u.

Cell: 9.697 9.697 5.921 Å, 90.06 90.06 25.13°
Positions (direct):
Ba (0.072, 0.072, 0.251)
Ba (0.928, 0.928, 0.749)
La (0.229, 0.229, 0.750)
La (0.771, 0.771, 0.250)
Tl (0.403, 0.403, 0.249)
Tl (0.597, 0.597, 0.751)

---

(2)
Compound: Ba2LaTl
Source: Alexandria via LeMat-Bulk
Functional: PBE
Structure: optimized geometry

Results
M_tot   0.0007 μB/atom
Polymorph energy (0 for the lowest one)   235 meV/atom
D(E_F)   5.2 states/eV/f.u.

Cell: 6.620 6.620 6.620 Å, 131.64 131.64 70.80°
Positions (direct):
Ba (0.000, 0.000, 0.000)
Ba (0.750, 0.250, 0.500)
La (0.250, 0.750, 0.500)
Tl (0.500, 0.500, 0.000)

---

(3)
Compound: BaLaTl2
Source: Alexandria via LeMat-Bulk
Functional: PBE
Structure: optimized geometry

Results
Raw total energy   -13.21 eV per cell
M_tot   0.0000 μB/atom
D(E_F)   2.8 states/eV/f.u.

Cell: 4.134 4.101 8.370 Å, 90.00 90.21 90.00°
Positions (direct):
Ba (0.000, 0.000, 0.000)
La (0.000, 0.000, 0.500)
Tl (0.499, 0.500, 0.280)
Tl (0.501, 0.500, 0.720)

---

(4)
Compound: BaLaTl2
Source: Alexandria via LeMat-Bulk
Functional: PBE
Structure: optimized geometry

Results
Raw total energy   -12.68 eV per cell
M_tot   0.0000 μB/atom
D(E_F)   4.9 states/eV/f.u.

Cell: 6.945 6.945 6.945 Å, 145.01 133.02 59.89°
Positions (direct):
Ba (0.000, 0.000, 0.000)
La (0.279, 0.779, 0.500)
Tl (0.545, 0.545, 0.000)
Tl (0.741, 0.241, 0.500)

---

(5)
Compound: Ba2LaTl
Source: Alexandria via LeMat-Bulk
Functional: PBE
Structure: optimized geometry

Results
M_tot   0.0001 μB/atom
Polymorph energy (0 for the lowest one)   247 meV/atom
D(E_F)   4.7 states/eV/f.u.

Cell: 6.550 6.550 4.081 Å, 90.08 90.08 107.71°
Positions (direct):
Ba (0.000, 0.500, 0.000)
Ba (0.500, 0.000, 0.000)
La (0.000, 0.000, 0.500)
Tl (0.500, 0.500, 0.500)

---

(6)
Compound: BaLaTl
Source: Alexandria via LeMat-Bulk
Functional: PBE
Structure: optimized geometry

Results
M_tot   0.0000 μB/atom
Polymorph energy (0 for the lowest one)   59 meV/atom
D(E_F)   1.6 states/eV/f.u.

Cell: 5.806 5.806 7.685 Å, 90.00 90.00 120.00°
Positions (direct):
Ba (0.000, 0.000, 0.000)
Ba (0.000, 0.000, 0.500)
La (0.333, 0.667, 0.250)
La (0.667, 0.333, 0.750)
Tl (0.333, 0.667, 0.750)
Tl (0.667, 0.333, 0.250)

---

(7)
Compound: BaLaTl
Source: Alexandria via LeMat-Bulk
Functional: PBE
Structure: optimized geometry

Results
M_tot   0.0000 μB/atom
Polymorph energy (0 for the lowest one)   0 meV/atom
D(E_F)   0.2 states/eV/f.u.

Cell: 8.962 5.520 9.684 Å, 90.00 90.00 90.00°
Positions (direct):
Ba (0.017, 0.250, 0.179)
Ba (0.483, 0.750, 0.679)
Ba (0.517, 0.250, 0.321)
Ba (0.983, 0.750, 0.821)
La (0.150, 0.250, 0.584)
La (0.350, 0.750, 0.084)
La (0.650, 0.250, 0.916)
La (0.850, 0.750, 0.416)
Tl (0.214, 0.750, 0.399)
Tl (0.286, 0.250, 0.899)
Tl (0.714, 0.750, 0.101)
Tl (0.786, 0.250, 0.601)

---

(8)
Compound: Ba2LaTl
Source: Alexandria via LeMat-Bulk
Functional: PBE
Structure: optimized geometry

Results
M_tot   0.0005 μB/atom
Polymorph energy (0 for the lowest one)   0 meV/atom
D(E_F)   5.4 states/eV/f.u.

Cell: 7.838 7.838 6.028 Å, 112.55 112.55 32.69°
Positions (direct):
Ba (0.000, 0.000, 0.000)
Ba (0.208, 0.208, 0.714)
La (0.406, 0.406, 0.407)
Tl (0.728, 0.728, 0.236)